# PBE with a Hubbard U LiFe2F7, relaxed
# Offset from the most stable computed form = 2.080 kcal/mol of atoms
# Total moment = 10.0 μB/f.u.
# SG = P2_1/m
# D(E_F) = 0.00 states/eV per cell
data_LiFe2F7
_chemical_formula_sum 'Li2 Fe4 F14'
_space_group_name_H-M_alt 'P 1'
_space_group_IT_number 1
_space_group_name_Hall 'P 1'
_cell_length_a 9.3311
_cell_length_b 5.2299
_cell_length_c 5.9795
_cell_angle_alpha 83.33
_cell_angle_beta 90.00
_cell_angle_gamma 90.00
loop_
_atom_site_label
_atom_site_fract_x
_atom_site_fract_y
_atom_site_fract_z
F1 0.2500 0.0898 0.1978
F2 0.7500 0.4893 0.0495
F3 0.0056 0.7045 0.1001
F4 0.2500 0.4906 0.3793
F5 0.9539 0.2393 0.3704
F6 0.5461 0.2393 0.3704
F7 0.7500 0.5094 0.6207
F8 0.2500 0.5107 0.9505
F9 0.4539 0.7607 0.6296
F10 0.9944 0.2955 0.8999
F11 0.0461 0.7607 0.6296
F12 0.5056 0.2955 0.8999
F13 0.7500 0.9102 0.8022
F14 0.4944 0.7045 0.1001
Fe1 0.5974 0.6394 0.8258
Fe2 0.4026 0.3606 0.1742
Fe3 0.0974 0.3606 0.1742
Fe4 0.9026 0.6394 0.8258
Li1 0.7500 0.3164 0.3613
Li2 0.2500 0.6836 0.6387